[1]
TbNd2Sb | PBE | optimized geometry

Geometry as extended XYZ:
```
4
Lattice="-2.762 1.486 2.669 -1.409 -2.385 3.048 5.764 2.760 7.606" Properties=species:S:1:pos:R:3 pbc="T T T"
Nd 0.081 0.330 3.078
Nd 4.290 2.130 6.431
Tb 0.797 0.931 6.662
Sb -2.778 -0.598 3.813
```

Output
**Crystal system**: trigonal
**Space-group type**: No. 160

[2]
TbNdSb2 | PBE | optimized geometry

Geometry as extended XYZ:
```
4
Lattice="4.431 0.000 0.000 2.216 3.837 0.000 2.216 1.279 7.575" Properties=species:S:1:pos:R:3 pbc="T T T"
Sb 2.216 1.279 1.923
Tb 4.431 2.558 3.835
Sb 2.216 1.279 5.657
Nd 6.647 3.837 7.523
```

Output
**Crystal system**: trigonal
**Space-group type**: No. 160

Number 1: electronic total energy -19.66 eV/cell. Number 2: electronic total energy -21.81 eV/cell.